1.
{
  "formula": "AlP2Se",
  "functional": "PBE",
  "state": "optimized geometry",
  "spacegroup": "No. 225",
  "m_tot_mub_per_fu": 0.000,
  "relative_energy_ev_per_atom": 0.6998,
  "formation_energy_uncorrected_mev_per_atom": 537,
  "dos_ef_per_ev_atom": 0.823,
  "lattice": [[-0.052, 2.875, 3.496], [-3.917, 1.040, 2.017], [-0.872, -1.526, 4.172]],
  "species": ["Al", "P", "P", "Se"],
  "fractional_positions": [[0.000, 0.000, 0.000], [0.750, 0.750, 0.750], [0.250, 0.250, 0.250], [0.500, 0.500, 0.500]]
}

2.
{
  "formula": "P2AuCl",
  "functional": "PBE",
  "state": "optimized geometry",
  "spacegroup": "No. 225",
  "m_tot_mub_per_fu": 0.000,
  "relative_energy_ev_per_atom": 0.7426,
  "formation_energy_uncorrected_mev_per_atom": 738,
  "dos_ef_per_ev_atom": 0.481,
  "lattice": [[-4.011, 1.656, 1.454], [-2.733, 2.253, -2.900], [-3.912, -1.912, -1.411]],
  "species": ["P", "P", "Au", "Cl"],
  "fractional_positions": [[0.250, 0.250, 0.250], [0.750, 0.750, 0.750], [0.500, 0.500, 0.500], [0.000, 0.000, 0.000]]
}

3.
{
  "formula": "Nd2UPdSe5",
  "functional": "PBE",
  "state": "optimized geometry",
  "spacegroup": "No. 36",
  "m_tot_mub_per_fu": 2.021,
  "formation_energy_uncorrected_mev_per_atom": -1392,
  "dos_ef_per_ev_atom": 0.786,
  "lattice": [[4.046, 0.000, 0.000], [-2.023, 8.662, 0.000], [0.000, 0.000, 12.647]],
  "species": ["Pd", "Pd", "Se", "Se", "Se", "Se", "Se", "Se", "Se", "Se", "Se", "Se", "U", "U", "Nd", "Nd", "Nd", "Nd"],
  "fractional_positions": [[0.442, 0.885, 0.420], [0.558, 0.115, 0.920], [0.497, 0.995, 0.739], [0.699, 0.397, 0.859], [0.301, 0.603, 0.359], [0.694, 0.389, 0.184], [0.984, 0.968, 0.528], [0.657, 0.314, 0.520], [0.306, 0.611, 0.684], [0.503, 0.005, 0.239], [0.016, 0.032, 0.028], [0.343, 0.686, 0.020], [0.823, 0.646, 0.522], [0.177, 0.354, 0.022], [0.101, 0.201, 0.354], [0.899, 0.799, 0.854], [0.879, 0.757, 0.198], [0.121, 0.243, 0.698]]
}

4.
{
  "formula": "Cu3RhO6",
  "functional": "PBE",
  "state": "optimized geometry",
  "spacegroup": "No. 146",
  "m_tot_mub_per_fu": 0.026,
  "relative_energy_ev_per_atom": 0.0000,
  "formation_energy_uncorrected_mev_per_atom": -511,
  "dos_ef_per_ev_atom": 0.769,
  "lattice": [[-3.493, -3.329, 1.573], [-0.275, -1.260, 4.908], [-4.181, 1.875, 2.871]],
  "species": ["Rh", "O", "O", "O", "O", "O", "O", "Cu", "Cu", "Cu"],
  "fractional_positions": [[0.847, 0.847, 0.459], [0.246, 0.944, 0.253], [0.758, 0.050, 0.750], [0.050, 0.443, 0.750], [0.556, 0.246, 0.253], [0.944, 0.556, 0.253], [0.443, 0.758, 0.750], [0.356, 0.356, 0.933], [0.647, 0.647, 0.060], [0.153, 0.153, 0.540]]
}

5.
{
  "formula": "RbGeH3",
  "functional": "PBE",
  "state": "optimized geometry",
  "spacegroup": "No. 161",
  "m_tot_mub_per_fu": 0.000,
  "relative_energy_ev_per_atom": 0.0187,
  "dos_ef_per_ev_atom": 0.000,
  "lattice": [[-4.056, -2.263, -4.156], [2.284, -1.355, -5.638], [0.544, -6.052, -1.382]],
  "species": ["Rb", "Rb", "H", "H", "H", "H", "H", "H", "Ge", "Ge"],
  "fractional_positions": [[0.263, 0.263, 0.263], [0.763, 0.763, 0.763], [0.729, 0.338, 0.636], [0.838, 0.229, 0.136], [0.636, 0.729, 0.338], [0.136, 0.838, 0.229], [0.229, 0.136, 0.838], [0.338, 0.636, 0.729], [0.006, 0.006, 0.006], [0.506, 0.506, 0.506]]
}

6.
{
  "formula": "Nd2PaP",
  "functional": "PBE",
  "state": "optimized geometry",
  "spacegroup": "No. 166",
  "e_form_ev_per_atom": -0.146,
  "m_tot_mub_per_fu": 0.885,
  "dos_ef_per_ev_atom": 1.444,
  "lattice": [[-1.449, -2.510, -2.234], [1.374, -0.471, -3.359], [6.572, -8.089, 1.828]],
  "species": ["Pa", "P", "Nd", "Nd"],
  "fractional_positions": [[0.000, 0.000, 0.000], [0.500, 0.500, 0.500], [0.110, 0.110, 0.671], [0.890, 0.890, 0.329]]
}

7.
{
  "formula": "Ac3AlAu4",
  "functional": "PBE",
  "state": "optimized geometry",
  "spacegroup": "No. 71",
  "e_form_ev_per_atom": -0.693,
  "m_tot_mub_per_fu": 0.000,
  "dos_ef_per_ev_atom": 0.699,
  "lattice": [[-2.389, -1.918, 3.341], [-3.733, -3.659, -4.769], [8.016, -2.744, 1.080]],
  "species": ["Ac", "Ac", "Ac", "Au", "Au", "Au", "Au", "Al"],
  "fractional_positions": [[0.809, 0.809, 0.619], [0.191, 0.191, 0.381], [0.000, 0.500, 0.000], [0.383, 0.168, 0.767], [0.383, 0.598, 0.767], [0.617, 0.832, 0.233], [0.617, 0.402, 0.233], [0.500, 0.000, 0.000]]
}

8.
{
  "formula": "LaTaW2",
  "functional": "PBE",
  "state": "optimized geometry",
  "spacegroup": "No. 71",
  "e_form_ev_per_atom": 0.724,
  "m_tot_mub_per_fu": 0.000,
  "relative_energy_ev_per_atom": 0.3433,
  "dos_ef_per_ev_atom": 0.960,
  "lattice": [[5.642, 0.005, 0.004], [2.484, 5.066, -0.004], [-3.400, -3.598, 2.707]],
  "species": ["W", "W", "Ta", "La"],
  "fractional_positions": [[0.007, 0.007, 0.000], [0.493, 0.493, 0.000], [0.250, 0.750, 0.500], [0.750, 0.250, 0.500]]
}

9.
{
  "formula": "MnCdAgMo2",
  "functional": "PBE",
  "state": "optimized geometry",
  "spacegroup": "No. 123",
  "e_form_ev_per_atom": 1.114,
  "m_tot_mub_per_fu": 0.000,
  "dos_ef_per_ev_atom": 1.182,
  "lattice": [[4.421, 0.000, 0.000], [0.000, 4.959, 0.000], [0.000, 0.000, 4.421]],
  "species": ["Ag", "Mo", "Mo", "Mn", "Cd"],
  "fractional_positions": [[0.500, 0.500, 0.500], [0.000, 0.000, 0.500], [0.500, 0.000, 0.000], [0.000, 0.000, 0.000], [0.000, 0.500, 0.000]]
}

10.
{
  "formula": "FeTe2MoI",
  "functional": "PBE",
  "state": "optimized geometry",
  "spacegroup": "No. 123",
  "m_tot_mub_per_fu": 4.360,
  "relative_energy_ev_per_atom": 0.0997,
  "formation_energy_uncorrected_mev_per_atom": 1077,
  "dos_ef_per_ev_atom": 1.636,
  "lattice": [[-2.053, 2.977, 3.399], [-3.887, 0.741, -2.996], [-2.521, -4.267, 2.214]],
  "species": ["I", "Te", "Te", "Fe", "Mo"],
  "fractional_positions": [[0.000, 0.000, 0.500], [0.000, 0.500, 0.000], [0.500, 0.000, 0.000], [0.000, 0.000, 0.000], [0.500, 0.500, 0.500]]
}

11.
{
  "formula": "CoTc2P4",
  "functional": "PBE",
  "state": "optimized geometry",
  "spacegroup": "No. 139",
  "e_form_ev_per_atom": 0.457,
  "m_tot_mub_per_fu": 0.465,
  "dos_ef_per_ev_atom": 0.958,
  "lattice": [[4.277, 0.000, 0.000], [0.000, 4.277, 0.000], [2.138, 2.138, 5.983]],
  "species": ["P", "P", "P", "P", "Tc", "Tc", "Co"],
  "fractional_positions": [[0.196, 0.196, 0.609], [0.500, 0.000, 0.000], [0.000, 0.500, 0.000], [0.804, 0.804, 0.391], [0.387, 0.387, 0.227], [0.613, 0.613, 0.773], [0.000, 0.000, 0.000]]
}

12.
{
  "formula": "CdHgBi2Pb2",
  "functional": "PBE",
  "state": "optimized geometry",
  "spacegroup": "No. 72",
  "e_form_ev_per_atom": 0.045,
  "m_tot_mub_per_fu": 0.000,
  "dos_ef_per_ev_atom": 0.455,
  "lattice": [[6.139, 0.000, 0.000], [0.000, 6.329, 0.000], [-3.070, -3.165, 9.617]],
  "species": ["Bi", "Bi", "Bi", "Bi", "Pb", "Pb", "Pb", "Pb", "Hg", "Hg", "Cd", "Cd"],
  "fractional_positions": [[0.364, 0.552, 0.728], [0.636, 0.448, 0.272], [0.136, 0.824, 0.272], [0.864, 0.176, 0.728], [0.191, 0.380, 0.383], [0.309, 0.997, 0.617], [0.691, 0.003, 0.383], [0.809, 0.620, 0.617], [0.250, 0.000, 0.000], [0.750, 0.000, 0.000], [0.750, 0.500, 0.000], [0.250, 0.500, 0.000]]
}

13.
{
  "formula": "AsPbIO2",
  "functional": "PBE",
  "state": "optimized geometry",
  "spacegroup": "No. 123",
  "m_tot_mub_per_fu": 0.000,
  "formation_energy_uncorrected_mev_per_atom": -119,
  "dos_ef_per_ev_atom": 0.154,
  "lattice": [[4.313, 0.000, 0.000], [0.000, 4.313, 0.000], [0.000, 0.000, 5.462]],
  "species": ["Pb", "O", "O", "As", "I"],
  "fractional_positions": [[0.500, 0.500, 0.500], [0.000, 0.500, 0.000], [0.500, 0.000, 0.000], [0.000, 0.000, 0.000], [0.000, 0.000, 0.500]]
}

14.
{
  "formula": "Ba2MnRe",
  "functional": "PBE",
  "state": "optimized geometry",
  "spacegroup": "No. 71",
  "e_form_ev_per_atom": 0.754,
  "m_tot_mub_per_fu": 1.104,
  "relative_energy_ev_per_atom": 0.2828,
  "dos_ef_per_ev_atom": 1.217,
  "lattice": [[9.976, -0.020, 0.003], [8.743, 4.804, -0.003], [-9.344, -2.450, 2.489]],
  "species": ["Ba", "Ba", "Mn", "Re"],
  "fractional_positions": [[0.894, 0.894, 0.000], [0.606, 0.606, 0.000], [0.750, 0.250, 0.500], [0.250, 0.750, 0.500]]
}

15.
{
  "formula": "InNiMo2",
  "functional": "PBE",
  "state": "optimized geometry",
  "spacegroup": "No. 166",
  "e_form_ev_per_atom": 0.434,
  "m_tot_mub_per_fu": 0.000,
  "dos_ef_per_ev_atom": 1.054,
  "lattice": [[9.259, -0.010, -0.006], [8.822, 2.811, -0.006], [8.822, 1.367, 2.456]],
  "species": ["Ni", "In", "Mo", "Mo"],
  "fractional_positions": [[0.750, 0.750, 0.750], [0.250, 0.250, 0.250], [0.007, 0.007, 0.007], [0.493, 0.493, 0.493]]
}

16.
{
  "formula": "Sc3Ag3PdO8",
  "functional": "PBE",
  "state": "optimized geometry",
  "spacegroup": "No. 12",
  "m_tot_mub_per_fu": 0.000,
  "formation_energy_uncorrected_mev_per_atom": -1833,
  "lattice": [[6.361, 0.000, 0.000], [-3.181, 5.350, -1.449], [0.000, -4.958, 7.845]],
  "species": ["O", "O", "O", "O", "O", "O", "O", "O", "Ag", "Ag", "Ag", "Sc", "Sc", "Sc", "Pd"],
  "fractional_positions": [[0.780, 0.048, 0.668], [0.261, 0.522, 0.658], [0.234, 0.469, 0.335], [0.220, 0.952, 0.332], [0.739, 0.478, 0.342], [0.267, 0.048, 0.668], [0.766, 0.531, 0.665], [0.733, 0.952, 0.332], [0.000, 0.000, 0.000], [0.500, 0.500, 0.000], [0.000, 0.500, 0.000], [0.500, 0.500, 0.500], [0.500, 0.000, 0.500], [0.000, 0.500, 0.500], [0.000, 0.000, 0.500]]
}

17.
{
  "formula": "MgSeI",
  "functional": "PBE",
  "state": "optimized geometry",
  "spacegroup": "No. 1",
  "m_tot_mub_per_fu": 0.000,
  "relative_energy_ev_per_atom": 0.0514,
  "formation_energy_uncorrected_mev_per_atom": -806,
  "dos_ef_per_ev_atom": 0.000,
  "lattice": [[-3.204, -0.339, -3.906], [4.251, -0.481, -4.721], [1.395, -6.555, -2.211]],
  "species": ["Mg", "Mg", "Se", "Se", "I", "I"],
  "fractional_positions": [[0.679, 0.075, 0.725], [0.118, 0.487, 0.006], [0.167, 0.940, 0.853], [0.369, 0.085, 0.061], [0.874, 0.667, 0.633], [0.626, 0.389, 0.296]]
}

18.
{
  "formula": "In3Fe",
  "functional": "PBE",
  "state": "optimized geometry",
  "spacegroup": "No. 166",
  "e_form_ev_per_atom": 0.273,
  "m_tot_mub_per_fu": 2.285,
  "dos_ef_per_ev_atom": 0.871,
  "lattice": [[9.365, -0.009, -0.005], [8.785, 3.244, -0.005], [8.785, 1.566, 2.841]],
  "species": ["In", "In", "In", "Fe"],
  "fractional_positions": [[0.738, 0.738, 0.738], [0.262, 0.262, 0.262], [0.500, 0.500, 0.500], [0.000, 0.000, 0.000]]
}

19.
{
  "formula": "Tl2Cr3Te6",
  "functional": "PBE",
  "state": "optimized geometry",
  "spacegroup": "No. 12",
  "m_tot_mub_per_fu": 8.354,
  "formation_energy_uncorrected_mev_per_atom": -244,
  "dos_ef_per_ev_atom": 0.276,
  "lattice": [[6.622, 0.000, 1.992], [3.311, 6.004, 0.996], [-0.061, 0.000, 8.354]],
  "species": ["Te", "Te", "Te", "Te", "Te", "Te", "Cr", "Cr", "Cr", "Tl", "Tl"],
  "fractional_positions": [[0.272, 0.000, 0.184], [0.064, 0.333, 0.814], [0.604, 0.333, 0.186], [0.728, 0.000, 0.816], [0.936, 0.667, 0.186], [0.396, 0.667, 0.814], [0.000, 0.000, 0.000], [0.330, 0.340, 0.000], [0.670, 0.660, 0.000], [0.835, 0.329, 0.500], [0.165, 0.671, 0.500]]
}

20.
{
  "formula": "BeMoPd",
  "functional": "PBE",
  "state": "optimized geometry",
  "spacegroup": "No. 62",
  "e_form_ev_per_atom": -0.163,
  "m_tot_mub_per_fu": 0.000,
  "relative_energy_ev_per_atom": 0.0766,
  "dos_ef_per_ev_atom": 0.458,
  "lattice": [[-5.314, -1.297, 1.676], [1.076, -0.937, 2.686], [-1.008, 8.463, 3.356]],
  "species": ["Be", "Be", "Be", "Be", "Pd", "Pd", "Pd", "Pd", "Mo", "Mo", "Mo", "Mo"],
  "fractional_positions": [[0.361, 0.250, 0.766], [0.861, 0.250, 0.734], [0.639, 0.750, 0.234], [0.139, 0.750, 0.266], [0.103, 0.750, 0.883], [0.603, 0.750, 0.617], [0.397, 0.250, 0.383], [0.897, 0.250, 0.117], [0.873, 0.250, 0.428], [0.127, 0.750, 0.572], [0.373, 0.250, 0.072], [0.627, 0.750, 0.928]]
}